Here is LaCuAu after structural relaxation from the Alexandria database. Energies are from PBE.

Computed properties:
Energy of formation   -0.558 eV per atom

Structure (CIF):
```
data_LaCuAu
_chemical_formula_sum 'La4 Cu4 Au4'
_cell_length_a 4.518
_cell_length_b 7.650
_cell_length_c 7.976
_cell_angle_alpha 90.00
_cell_angle_beta 90.00
_cell_angle_gamma 90.00
_symmetry_space_group_name_H-M 'I m m m'
_symmetry_Int_Tables_number 71
_symmetry_space_group_name_Hall '-I 2 2'
loop_
_atom_site_label
_atom_site_fract_x
_atom_site_fract_y
_atom_site_fract_z
La1 0.000 0.250 0.000
Cu1 0.000 0.000 0.346
Au1 0.000 0.500 0.321
```